Compound: KSiAs4
Source: Alexandria via LeMat-Bulk
Functional: GGA-PBE
Structure: optimized geometry

Unit cell a=5.7529 b=5.7529 c=5.7529 alpha=60.00 beta=60.00 gamma=60.00
With the nearest neighbours (Å) after each atom.
Sites, in units of the cell vectors:
K 0.0000 0.0000 0.0000  12 As 3.39, 4 Si 3.52
Si 0.7500 0.7500 0.7500  12 As 3.36, 4 K 3.52
As 0.3830 0.3830 0.3830  3 As 2.69
As 0.3830 0.3830 0.8510  3 As 2.69
As 0.3830 0.8510 0.3830  3 As 2.69
As 0.8510 0.3830 0.3830  3 As 2.69

Computed properties:
* mass density: 4.5 g/cm3
* relative energy among the computed polymorphs: 366 meV/atom
* SG: No. 216
* uncorrected energy: -23.2 eV/cell
* uncorrected formation energy: 189 kJ/mol of formula units